This record from the Alexandria database describes a relaxed MgAlRe2 crystal. The functional is PBE.

Summary:
For the total energy, the calculation gives -7.294 eV per atom. The calculation puts the formation energy at 25.6 kJ per mole of atoms.

Cell and atoms, written as POSCAR:
```
MgAlRe2
1.0
3.283 0.000 0.000
0.000 3.283 0.000
0.000 0.000 5.981
Mg Al Re
1 1 2
Direct
0.000 0.000 0.000 Mg
0.000 0.000 0.500 Al
0.500 0.500 0.299 Re
0.500 0.500 0.701 Re
```



This record from the Alexandria database describes a relaxed ScTl3Br6 crystal. The functional is PBE.

Summary:
For the uncorrected formation energy, the calculation gives -1.21 eV per atom. For the total energy, the calculation gives -3.558 eV per atom.

Cell and atoms, written as POSCAR:
```
ScTl3Br6
1.0
7.642 0.000 0.000
0.000 8.442 0.000
-7.104 0.000 11.155
Sc Tl Br
2 6 12
Direct
0.000 0.000 0.000 Sc
0.000 0.500 0.500 Sc
0.295 0.080 0.762 Tl
0.295 0.420 0.262 Tl
0.500 0.000 0.500 Tl
0.500 0.500 0.000 Tl
0.705 0.580 0.738 Tl
0.705 0.920 0.238 Tl
0.098 0.053 0.224 Br
0.098 0.447 0.724 Br
0.227 0.733 0.072 Br
0.227 0.767 0.572 Br
0.334 0.164 0.045 Br
0.334 0.336 0.545 Br
0.666 0.664 0.455 Br
0.666 0.836 0.955 Br
0.773 0.233 0.428 Br
0.773 0.267 0.928 Br
0.902 0.553 0.276 Br
0.902 0.947 0.776 Br
```



This record from the Alexandria database describes a relaxed Ac8TbNd3 crystal. The functional is PBE.

Summary:
For the total energy, the calculation gives -3.733 eV per atom. The calculation puts the formation energy at 56.3 kJ per mole of atoms.

Cell and atoms, written as POSCAR:
```
Ac8TbNd3
1.0
-4.669 4.669 6.435
4.669 -4.669 6.435
4.669 4.669 -6.435
Ac Tb Nd
8 1 3
Direct
0.124 0.124 0.738 Ac
0.245 0.742 0.000 Ac
0.258 0.258 0.504 Ac
0.385 0.385 0.262 Ac
0.615 0.876 0.000 Ac
0.742 0.245 0.000 Ac
0.755 0.755 0.496 Ac
0.876 0.615 0.000 Ac
0.500 0.500 0.000 Tb
0.000 0.000 0.000 Nd
0.250 0.750 0.500 Nd
0.750 0.250 0.500 Nd
```



This record from the Alexandria database describes a relaxed LaPu2PdPt2 crystal. The functional is PBE.

Summary:
For the total energy, the calculation gives -9.220 eV per atom. The calculation puts the formation energy at -71.7 kJ per mole of atoms.

Cell and atoms, written as POSCAR:
```
LaPu2PdPt2
1.0
5.024 0.000 0.000
-2.512 4.351 0.000
0.000 0.000 6.211
La Pu Pd Pt
1 2 1 2
Direct
0.000 0.000 0.000 La
0.333 0.667 0.683 Pu
0.667 0.333 0.317 Pu
0.000 0.000 0.500 Pd
0.333 0.667 0.207 Pt
0.667 0.333 0.793 Pt
```